WCO3, optimized geometry, DFT PBE+U; calculated total energy = -6.24 eV/atom; symmetry = Pm-3m, No. 221
1.0
3.8795 0.0000 0.0000
0.0000 3.8795 0.0000
0.0000 0.0000 3.8795
C O W
1 3 1
direct
0.5000 0.5000 0.5000
0.0000 0.5000 0.0000
0.0000 0.0000 0.5000
0.5000 0.0000 0.0000
0.0000 0.0000 0.0000